(1)
## Nd4TlSn (PBE)

Data for Nd4TlSn after structural relaxation.

Properties
For the calculated total energy, the calculation gives -4.4861 eV per atom. The calculated formation energy comes out at -0.246 eV/atom. The crystal system is tetragonal. The space-group type is P4/mmm. The density of states at the Fermi level is 9.4 states/eV/f.u.

Lattice parameters (Å, degrees): 5.332 7.548 5.332 90.00 90.00 90.00
Fractional positions:
Nd 0.500 0.751 0.000
Nd 0.500 0.249 0.000
Nd 0.000 0.249 0.500
Nd 0.000 0.751 0.500
Tl 0.000 0.000 0.000
Sn 0.500 0.500 0.500

=====

(2)
## PrSc2ReO8 (PBE)

Data for PrSc2ReO8 after structural relaxation.

Properties
For the calculated total energy, the calculation gives -8.4891 eV per atom. The crystal system is monoclinic. The space-group type is P2/m. The uncorrected formation energy is -2.6928 eV per atom.

Lattice parameters (Å, degrees): 4.912 4.907 6.688 90.00 90.00 88.32
Fractional positions:
Pr 0.000 0.000 0.500
Sc 0.500 0.500 0.741
Sc 0.500 0.500 0.259
Re 0.000 0.000 0.000
O 0.195 0.804 0.203
O 0.729 0.730 0.000
O 0.805 0.196 0.203
O 0.805 0.196 0.797
O 0.271 0.270 0.000
O 0.195 0.804 0.797
O 0.674 0.676 0.500
O 0.326 0.324 0.500

=====

(3)
## CeSmRuPb (PBE)

Data for CeSmRuPb after structural relaxation.

Properties
For the calculated total energy, the calculation gives -6.2995 eV per atom. The calculated formation energy comes out at -0.390 eV/atom. The crystal system is tetragonal. The space-group type is P4mm. The density of states at the Fermi level is 4.6 states/eV/f.u.

Lattice parameters (Å, degrees): 3.418 3.418 8.584 90.00 90.00 90.00
Fractional positions:
Ce 0.500 0.500 0.370
Sm 0.500 0.500 0.777
Ru 0.000 0.000 0.565
Pb 0.000 0.000 0.073

=====

(4)
## LiTiH6O2F6 (PBE)

Data for LiTiH6O2F6 after structural relaxation.

Properties
For the calculated total energy, the calculation gives -5.1999 eV per atom. The crystal system is trigonal. The space-group type is P-3m1. The density of states at the Fermi level is 9.2 states/eV/f.u.

Lattice parameters (Å, degrees): 6.764 6.764 5.421 90.00 90.00 120.00
Fractional positions:
Li 0.000 0.000 0.500
Ti 0.000 0.000 0.000
H 0.501 0.751 0.297
H 0.249 0.751 0.297
H 0.751 0.249 0.703
H 0.249 0.499 0.297
H 0.499 0.249 0.703
H 0.751 0.501 0.703
O 0.333 0.667 0.353
O 0.667 0.333 0.647
F 0.130 0.260 0.236
F 0.740 0.870 0.236
F 0.870 0.740 0.764
F 0.130 0.870 0.236
F 0.870 0.130 0.764
F 0.260 0.130 0.764

=====

(5)
## MgAl2Te (PBE)

Data for MgAl2Te after structural relaxation.

Properties
For the calculated total energy, the calculation gives -3.0747 eV per atom. The crystal system is monoclinic. The space-group type is Pm. The uncorrected formation energy is -0.0194 eV per atom. The density of states at the Fermi level is 1.3 states/eV/f.u.

Lattice parameters (Å, degrees): 3.799 3.107 8.267 68.73 90.00 90.00
Fractional positions:
Al 0.000 0.830 0.042
Al 0.500 0.147 0.231
Mg 0.000 0.427 0.461
Te 0.500 0.096 0.765

=====

(6)
## Tl2VCrSn (PBE)

Data for Tl2VCrSn after structural relaxation.

Properties
For the calculated total energy, the calculation gives -4.2342 eV per atom. The calculated formation energy comes out at 1.261 eV/atom. The crystal system is tetragonal. The space-group type is P4/mmm. The density of states at the Fermi level is 4.4 states/eV/f.u.

Lattice parameters (Å, degrees): 5.746 5.269 5.746 90.00 90.00 90.00
Fractional positions:
Cr 0.500 0.500 0.500
Tl 0.000 0.000 0.500
Tl 0.500 0.000 0.000
Sn 0.000 0.000 0.000
V 0.000 0.500 0.000